12
Lattice="5.5216 0.0000 0.0000 0.0000 11.1526 0.0000 0.0000 0.0000 9.7126" Properties=species:S:1:pos:R:3 comment="CsRb2NaHg2 (PBE-GGA, relaxed)" final_energy_ev_per_cell=-11.3 dos_at_fermi_per_ev_cell=4.82 pbc="T T T"
Cs 0.0000 0.8053 0.0000
Cs 0.0000 10.3473 4.8563
Rb 0.0000 3.5688 3.7524
Rb 0.0000 7.5838 8.6087
Rb 2.7608 4.6575 0.4626
Rb 2.7608 6.4952 5.3189
Na 2.7608 2.1550 6.5690
Na 2.7608 8.9976 1.7128
Hg 0.0000 3.9988 7.3856
Hg 0.0000 7.1538 2.5293
Hg 2.7608 1.1934 2.9065
Hg 2.7608 9.9592 7.7628